No. 1
Ac3ZnPt3 after structural relaxation, computed with GGA-PBE.

abc: 10.568 10.568 10.568
angles: 156.64 156.21 33.59
Fractional coordinates of all 7 atoms:
Ac  0.000  0.000  0.000
Ac  0.365  0.365  0.000
Ac  0.672  0.172  0.500
Zn  0.246  0.746  0.500
Pt  0.120  0.620  0.500
Pt  0.522  0.522  0.000
Pt  0.827  0.827  0.000

Computed properties:
The formation enthalpy at 0 K is -1.000 eV per atom. Its calculated volume is 26.94 Å³/atom.


No. 2
Ac2Zn15Pt2 after structural relaxation, computed with GGA-PBE.

abc: 6.991 6.991 6.991
angles: 82.37 82.37 82.37
Fractional coordinates of all 19 atoms:
Ac  0.160  0.160  0.160
Ac  0.840  0.840  0.840
Zn  0.000  0.500  0.500
Zn  0.157  0.157  0.655
Zn  0.157  0.655  0.157
Zn  0.223  0.500  0.777
Zn  0.223  0.777  0.500
Zn  0.345  0.843  0.843
Zn  0.500  0.000  0.500
Zn  0.500  0.223  0.777
Zn  0.500  0.500  0.000
Zn  0.500  0.777  0.223
Zn  0.655  0.157  0.157
Zn  0.777  0.223  0.500
Zn  0.777  0.500  0.223
Zn  0.843  0.345  0.843
Zn  0.843  0.843  0.345
Pt  0.390  0.390  0.390
Pt  0.610  0.610  0.610

Computed properties:
The formation enthalpy at 0 K is -0.336 eV per atom. Its calculated volume is 17.54 Å³/atom.


No. 3
Ac3ZnPt after structural relaxation, computed with GGA-PBE.

abc: 9.439 7.296 10.848
angles: 90.00 109.88 90.00
Fractional coordinates of all 20 atoms:
Ac  0.117  0.035  0.252
Ac  0.117  0.465  0.752
Ac  0.289  0.577  0.463
Ac  0.289  0.923  0.963
Ac  0.371  0.066  0.633
Ac  0.371  0.434  0.133
Ac  0.629  0.566  0.867
Ac  0.629  0.934  0.367
Ac  0.711  0.077  0.037
Ac  0.711  0.423  0.537
Ac  0.883  0.535  0.248
Ac  0.883  0.965  0.748
Zn  0.023  0.680  0.017
Zn  0.023  0.820  0.517
Zn  0.977  0.180  0.483
Zn  0.977  0.320  0.983
Pt  0.414  0.235  0.388
Pt  0.414  0.265  0.888
Pt  0.586  0.735  0.112
Pt  0.586  0.765  0.612

Computed properties:
For the energy above the most stable polymorph in this dataset, the calculation gives 20 meV per atom. The formation enthalpy at 0 K is -0.506 eV per atom. Its calculated volume is 35.13 Å³/atom.


| no. | calculated density (g cm⁻³) |
| --- | --- |
| 1 | 11.73 |
| 2 | 9.09 |
| 3 | 8.90 |